Record 1
! MgAu5 | Alexandria | PBEsol | optimized geometry; values from VASP
! DOS(E_F) ... 1.6 states/eV/f.u.
! V ... 17.029 Å³ per atom
! Energy of formation from the pure elements ... -223.4 meV/atom
&SYSTEM
  ibrav = 0, nat = 6, ntyp = 2
/
ATOMIC_SPECIES
Mg 24.30 Mg.upf
Au 196.97 Au.upf
CELL_PARAMETERS angstrom
4.639 0.000 0.000
0.000 1.540 7.150
0.000 -1.540 7.150
ATOMIC_POSITIONS angstrom
Mg 0.000 0.000 0.000
Au 0.000 0.000 4.819
Au 0.000 0.000 9.497
Au 2.320 0.000 1.730
Au 2.320 0.000 6.507
Au 2.320 0.000 11.282

---

Record 2
! LaYSc2 | Alexandria | PBEsol | optimized geometry; values from VASP
! DOS(E_F) ... 6.1 states/eV/f.u.
! V ... 27.676 Å³ per atom
! Polymorph energy (0 for the lowest one) ... 6.0 kJ/mol of formula units
! Energy of formation from the pure elements ... 60.7 meV/atom
&SYSTEM
  ibrav = 0, nat = 4, ntyp = 3
/
ATOMIC_SPECIES
La 138.91 La.upf
Y 88.91 Y.upf
Sc 44.96 Sc.upf
CELL_PARAMETERS angstrom
3.520 0.000 0.000
0.000 3.520 0.000
0.000 0.000 8.933
ATOMIC_POSITIONS angstrom
La 0.000 0.000 0.000
Y 0.000 0.000 4.467
Sc 1.760 1.760 2.258
Sc 1.760 1.760 6.675